# 1
Density functional theory data (GGA-PBE) for an optimized crystal structure of RbSi3Ni.

Lattice parameters (Å, degrees): 4.677 4.677 4.677 90.00 90.00 90.00
Positions (direct):
Ni: 0.000 0.000 0.000
Si: 0.000 0.500 0.000
Si: 0.000 0.000 0.500
Si: 0.500 0.000 0.000
Rb: 0.500 0.500 0.500

Calculated values
formation energy (no corrections)	251	kJ/mol of formula units
SG	Pm-3m (221)


# 2
Density functional theory data (GGA-PBE) for an optimized crystal structure of RbSi2NiTe8.

Lattice parameters (Å, degrees): 6.756 6.756 9.867 69.98 69.98 60.00
Positions (direct):
Rb: 0.500 0.500 0.500
Si: 0.248 0.248 0.257
Si: 0.752 0.752 0.743
Ni: 0.000 0.000 0.000
Te: 0.154 0.154 0.537
Te: 0.633 0.293 0.153
Te: 0.846 0.846 0.463
Te: 0.922 0.633 0.153
Te: 0.078 0.367 0.847
Te: 0.293 0.922 0.153
Te: 0.707 0.078 0.847
Te: 0.367 0.707 0.847

Calculated values
formation energy (no corrections)	-102	kJ/mol of formula units
SG	R-3 (148)


# 3
Density functional theory data (GGA-PBE) for an optimized crystal structure of Rb2TlSiNi.

Lattice parameters (Å, degrees): 6.230 5.057 6.230 90.00 90.00 90.00
Site moments in Bohr magnetons follow the coordinates.
Positions (direct):
Ni: 0.000 0.000 0.000  0.29
Tl: 0.000 0.500 0.000  -0.03
Si: 0.500 0.500 0.500  0.58
Rb: 0.000 0.000 0.500  0.02
Rb: 0.500 0.000 0.000  0.02

Calculated values
formation energy (no corrections)	336	kJ/mol of formula units
SG	P4/mmm (123)


# 4
Density functional theory data (GGA-PBE) for an optimized crystal structure of RbZnSi2Ni.

Lattice parameters (Å, degrees): 4.426 6.450 4.426 90.00 90.00 90.00
Positions (direct):
Ni: 0.000 0.000 0.000
Zn: 0.500 0.500 0.500
Si: 0.000 0.000 0.500
Si: 0.500 0.000 0.000
Rb: 0.000 0.500 0.000

Calculated values
formation energy (no corrections)	196	kJ/mol of formula units
SG	P4/mmm (123)


# 5
Density functional theory data (GGA-PBE) for an optimized crystal structure of RbNiSn2.

Lattice parameters (Å, degrees): 4.284 4.284 7.924 74.32 74.32 60.00
Positions (direct):
Ni: 0.000 0.000 0.000
Sn: 0.291 0.291 0.127
Sn: 0.709 0.709 0.873
Rb: 0.500 0.500 0.500

Calculated values
SG	R-3m (166)
formation energy from the elements	-16.8	kJ per mole of atoms


# 6
Density functional theory data (GGA-PBE) for an optimized crystal structure of RbNiSn2.

Lattice parameters (Å, degrees): 4.290 4.290 7.945 74.34 74.34 60.00
Positions (direct):
Rb: 0.498 0.498 0.505
Ni: 0.669 0.669 0.993
Sn: 0.042 0.042 0.875
Sn: 0.291 0.291 0.127

Calculated values
SG	R3m (160)
formation energy from the elements	-16.6	kJ per mole of atoms


# 7
Density functional theory data (GGA-PBE) for an optimized crystal structure of RbNiSn2.

Lattice parameters (Å, degrees): 5.194 5.194 5.194 60.00 60.00 60.00
Positions (direct):
Ni: 0.000 0.000 0.000
Sn: 0.250 0.250 0.250
Sn: 0.750 0.750 0.750
Rb: 0.500 0.500 0.500

Calculated values
SG	Fm-3m (225)
formation energy from the elements	46.4	kJ per mole of atoms


# 8
Density functional theory data (GGA-PBE) for an optimized crystal structure of Rb2NiSn2.

Lattice parameters (Å, degrees): 6.999 6.999 6.307 90.00 90.00 90.00
Positions (direct):
Ni: 0.000 0.000 0.000
Ni: 0.500 0.500 0.000
Sn: 0.346 0.846 0.000
Sn: 0.846 0.654 0.000
Sn: 0.654 0.154 0.000
Sn: 0.154 0.346 0.000
Rb: 0.178 0.678 0.500
Rb: 0.678 0.822 0.500
Rb: 0.822 0.322 0.500
Rb: 0.322 0.178 0.500

Calculated values
SG	P4/mbm (127)
formation energy from the elements	6.3	kJ per mole of atoms


# 9
Density functional theory data (GGA-PBE) for an optimized crystal structure of RbNiSn2.

Lattice parameters (Å, degrees): 6.169 6.169 8.811 69.51 69.51 90.00
Positions (direct):
Ni: 0.500 0.500 0.000
Ni: 0.250 0.750 0.500
Sn: 0.375 0.125 0.250
Sn: 0.375 0.625 0.250
Sn: 0.375 0.625 0.750
Sn: 0.875 0.625 0.750
Rb: 0.000 0.000 0.000
Rb: 0.750 0.250 0.500

Calculated values
SG	I4_1/amd (141)
formation energy from the elements	3.4	kJ per mole of atoms


# 10
Density functional theory data (GGA-PBE) for an optimized crystal structure of RbSr2NiSn.

Lattice parameters (Å, degrees): 5.972 5.972 5.047 90.00 90.00 90.00
Site moments in Bohr magnetons follow the coordinates.
Positions (direct):
Sr: 0.000 0.500 0.000  0.04
Sr: 0.500 0.000 0.000  0.04
Sn: 0.000 0.000 0.500  0.04
Rb: 0.500 0.500 0.500  0.04
Ni: 0.000 0.000 0.000  0.10

Calculated values
SG	P4/mmm (123)
formation energy from the elements	-11.4	kJ per mole of atoms


# 11
Density functional theory data (GGA-PBE) for an optimized crystal structure of RbTi2NiSn.

Lattice parameters (Å, degrees): 4.651 5.679 4.651 90.00 90.00 90.00
Site moments in Bohr magnetons follow the coordinates.
Positions (direct):
Ni: 0.500 0.500 0.500  0.30
Sn: 0.000 0.500 0.000  -0.02
Rb: 0.000 0.000 0.000  0.09
Ti: 0.000 0.000 0.500  0.69
Ti: 0.500 0.000 0.000  0.50

Calculated values
SG	P4/mmm (123)
formation energy from the elements	223.6	kJ per mole of atoms


# 12
Density functional theory data (GGA-PBE) for an optimized crystal structure of Rb2VNiSn.

Lattice parameters (Å, degrees): 6.270 4.891 6.270 90.00 90.00 90.00
Site moments in Bohr magnetons follow the coordinates.
Positions (direct):
Ni: 0.000 0.000 0.000  -0.07
Sn: 0.000 0.500 0.000  -0.01
Rb: 0.000 0.000 0.500  0.00
Rb: 0.500 0.000 0.000  0.00
V: 0.500 0.500 0.500  -0.43

Calculated values
SG	P4/mmm (123)
formation energy from the elements	114.2	kJ per mole of atoms


# 13
Density functional theory data (GGA-PBE) for an optimized crystal structure of RbSr2Ni2.

Lattice parameters (Å, degrees): 8.559 8.559 4.316 90.00 90.00 90.00
Positions (direct):
Sr: 0.156 0.656 0.500
Sr: 0.656 0.844 0.500
Sr: 0.844 0.344 0.500
Sr: 0.344 0.156 0.500
Rb: 0.000 0.000 0.000
Rb: 0.500 0.500 0.000
Ni: 0.403 0.903 0.000
Ni: 0.903 0.597 0.000
Ni: 0.597 0.097 0.000
Ni: 0.097 0.403 0.000

Calculated values
SG	P4/mbm (127)
formation energy from the elements	25.6	kJ per mole of atoms


# 14
Density functional theory data (GGA-PBE) for an optimized crystal structure of Rb2Sr4Ni.

Lattice parameters (Å, degrees): 5.992 5.992 12.448 76.07 76.07 90.00
Positions (direct):
Sr: 0.878 0.878 0.244
Sr: 0.122 0.122 0.756
Sr: 0.000 0.500 0.000
Sr: 0.500 0.000 0.000
Rb: 0.680 0.680 0.640
Rb: 0.320 0.320 0.360
Ni: 0.000 0.000 0.000

Calculated values
SG	I4/mmm (139)
formation energy from the elements	10.4	kJ per mole of atoms


# 15
Density functional theory data (GGA-PBE) for an optimized crystal structure of Rb2SrNi.

Lattice parameters (Å, degrees): 6.276 6.276 6.276 60.00 60.00 60.00
Positions (direct):
Sr: 0.500 0.500 0.500
Rb: 0.250 0.250 0.250
Rb: 0.750 0.750 0.750
Ni: 0.000 0.000 0.000

Calculated values
SG	Fm-3m (225)
formation energy from the elements	73.7	kJ per mole of atoms


# 16
Density functional theory data (GGA-PBE) for an optimized crystal structure of RbSr3Ni.

Lattice parameters (Å, degrees): 6.480 6.480 6.480 90.00 90.00 90.00
Site moments in Bohr magnetons follow the coordinates.
Positions (direct):
Sr: 0.000 0.500 0.000  0.14
Sr: 0.000 0.000 0.500  0.18
Sr: 0.500 0.000 0.000  0.09
Rb: 0.000 0.000 0.000  0.13
Ni: 0.500 0.500 0.500  0.16

Calculated values
SG	Pm-3m (221)
formation energy from the elements	141.2	kJ per mole of atoms


# 17
Density functional theory data (GGA-PBE) for an optimized crystal structure of RbSrNi2.

Lattice parameters (Å, degrees): 8.267 8.267 6.601 51.23 51.23 90.00
Positions (direct):
Sr: 0.000 0.000 0.000
Sr: 0.750 0.250 0.500
Rb: 0.500 0.500 0.000
Rb: 0.250 0.750 0.500
Ni: 0.637 0.125 0.250
Ni: 0.113 0.625 0.250
Ni: 0.375 0.363 0.750
Ni: 0.875 0.887 0.750

Calculated values
SG	I-42d (122)
formation energy from the elements	80.5	kJ per mole of atoms


# 18
Density functional theory data (GGA-PBE) for an optimized crystal structure of RbSrNi3.

Lattice parameters (Å, degrees): 4.973 4.973 4.973 90.00 90.00 90.00
Positions (direct):
Sr: 0.500 0.500 0.500
Rb: 0.000 0.000 0.000
Ni: 0.000 0.500 0.000
Ni: 0.000 0.000 0.500
Ni: 0.500 0.000 0.000

Calculated values
SG	Pm-3m (221)
formation energy from the elements	148.1	kJ per mole of atoms


# 19
Density functional theory data (GGA-PBE) for an optimized crystal structure of RbSrNi2.

Lattice parameters (Å, degrees): 5.338 5.338 5.338 60.00 60.00 60.00
Site moments in Bohr magnetons follow the coordinates.
Positions (direct):
Sr: 0.500 0.500 0.500  -0.03
Rb: 0.000 0.000 0.000  -0.01
Ni: 0.250 0.250 0.250  0.56
Ni: 0.750 0.750 0.750  0.56

Calculated values
SG	Fm-3m (225)
formation energy from the elements	70.7	kJ per mole of atoms


# 20
Density functional theory data (GGA-PBE) for an optimized crystal structure of RbSr3Ni.

Lattice parameters (Å, degrees): 6.122 6.122 6.122 90.00 90.00 90.00
Positions (direct):
Sr: 0.000 0.500 0.000
Sr: 0.000 0.000 0.500
Sr: 0.500 0.000 0.000
Rb: 0.500 0.500 0.500
Ni: 0.000 0.000 0.000

Calculated values
SG	Pm-3m (221)
formation energy from the elements	6.2	kJ per mole of atoms